# 1
The following is a PBEsol calculation of a relaxed structure of Li2MgCd, from Alexandria.

a b c (Å): 2.933 4.521 5.811
angles (deg): 90.00 103.94 90.00
Element x y z (fractional)
Mg 0.537 0.000 0.495
Li 0.891 0.000 0.994
Li 0.859 0.500 0.242
Cd 0.213 0.500 0.768

Calculated values
- ΔH_f (0 K): -150.5 meV per atom
- Total magnetic moment: 0.00 μB/f.u.
- Total energy: -0.1369 Ry/atom
- Polymorph energy (0 for the lowest one): 0.042 eV per atom

---

# 2
The following is a PBEsol calculation of a relaxed structure of HfMgAs2Br, from Alexandria.

a b c (Å): 5.129 5.129 5.132
angles (deg): 90.00 90.00 90.00
Element x y z (fractional)
Mg 0.500 0.500 0.500
Hf 0.000 0.000 0.000
Br 0.000 0.000 0.500
As 0.500 0.000 0.000
As 0.000 0.500 0.000

Calculated values
- Total magnetic moment: 0.00 μB/f.u.
- Total energy: -0.3691 Ry/atom

---

# 3
The following is a PBEsol calculation of a relaxed structure of Mn2CoPC, from Alexandria.

a b c (Å): 3.459 4.360 4.360
angles (deg): 90.00 90.00 90.00
Element x y z (fractional)
Mn 0.000 0.000 0.500
Mn 0.000 0.500 0.000
P 0.000 0.000 0.000
Co 0.500 0.500 0.500
C 0.500 0.000 0.000

Calculated values
- ΔH_f (0 K): 1245.8 meV per atom
- Total magnetic moment: 8.02 μB/f.u.
- Total energy: -0.5360 Ry/atom

---

# 4
The following is a PBEsol calculation of a relaxed structure of As2AuCSe, from Alexandria.

a b c (Å): 4.349 4.349 4.311
angles (deg): 90.00 90.00 90.00
Element x y z (fractional)
Au 0.500 0.500 0.500
As 0.500 0.000 0.000
As 0.000 0.500 0.000
C 0.000 0.000 0.000
Se 0.000 0.000 0.500

Calculated values
- Total magnetic moment: 0.00 μB/f.u.
- Total energy: -0.3290 Ry/atom

---

# 5
The following is a PBEsol calculation of a relaxed structure of CsYZnSe3, from Alexandria.

a b c (Å): 4.095 8.165 10.812
angles (deg): 90.00 90.00 104.52
Element x y z (fractional)
Cs 0.256 0.512 0.750
Cs 0.744 0.488 0.250
Y 0.000 0.000 0.000
Y 0.000 0.000 0.500
Se 0.618 0.237 0.941
Se 0.382 0.763 0.441
Se 0.943 0.885 0.750
Se 0.382 0.763 0.059
Se 0.057 0.115 0.250
Se 0.618 0.237 0.559
Zn 0.537 0.075 0.750
Zn 0.463 0.925 0.250

Calculated values
- Total magnetic moment: 0.00 μB/f.u.
- Total energy: -0.3608 Ry/atom

---

# 6
The following is a PBEsol calculation of a relaxed structure of RuAuCl2, from Alexandria.

a b c (Å): 3.075 4.767 4.767
angles (deg): 100.15 90.00 90.00
Element x y z (fractional)
Ru 0.500 0.000 0.000
Cl 0.000 0.000 0.500
Cl 0.000 0.500 0.000
Au 0.500 0.500 0.500

Calculated values
- Total magnetic moment: 2.94 μB/f.u.
- Total energy: -0.2742 Ry/atom
- Polymorph energy (0 for the lowest one): 0.733 eV per atom

---

# 7
The following is a PBEsol calculation of a relaxed structure of Tl2InW, from Alexandria.

a b c (Å): 3.055 4.960 5.858
angles (deg): 90.00 105.37 90.00
Element x y z (fractional)
W 0.825 0.000 0.531
Tl 0.680 0.500 0.234
Tl 0.083 0.000 0.040
In 0.412 0.500 0.696

Calculated values
- ΔH_f (0 K): 722.1 meV per atom
- Total magnetic moment: 0.00 μB/f.u.
- Total energy: -0.3521 Ry/atom
- Polymorph energy (0 for the lowest one): 0.116 eV per atom

---

# 8
The following is a PBEsol calculation of a relaxed structure of SiAs2Br, from Alexandria.

a b c (Å): 3.796 3.796 5.747
angles (deg): 90.00 90.00 90.00
Element x y z (fractional)
Si 0.000 0.000 0.500
As 0.500 0.000 0.000
As 0.000 0.500 0.000
Br 0.500 0.500 0.500

Calculated values
- Total magnetic moment: 0.00 μB/f.u.
- Total energy: -0.2916 Ry/atom

---

# 9
The following is a PBEsol calculation of a relaxed structure of ScTcPt2, from Alexandria.

a b c (Å): 3.953 3.953 4.830
angles (deg): 114.16 114.16 90.00
Element x y z (fractional)
Pt 0.250 0.750 0.500
Pt 0.000 0.000 0.000
Sc 0.500 0.500 0.000
Tc 0.750 0.250 0.500

Calculated values
- ΔH_f (0 K): -469.5 meV per atom
- Total magnetic moment: 0.02 μB/f.u.
- Total energy: -0.6188 Ry/atom
- Polymorph energy (0 for the lowest one): 0.159 eV per atom

---

# 10
The following is a PBEsol calculation of a relaxed structure of TlSb2Pt, from Alexandria.

a b c (Å): 4.179 5.183 5.183
angles (deg): 114.90 90.00 90.00
Element x y z (fractional)
Sb 0.000 0.187 0.813
Sb 0.000 0.813 0.187
Pt 0.500 0.000 0.000
Tl 0.500 0.500 0.500

Calculated values
- Total magnetic moment: 0.00 μB/f.u.
- Total energy: -0.3617 Ry/atom
- Polymorph energy (0 for the lowest one): 0.006 eV per atom

---

# 11
The following is a PBEsol calculation of a relaxed structure of K9Co2S7, from Alexandria.

a b c (Å): 12.570 12.570 12.570
angles (deg): 90.00 90.00 90.00
Element x y z (fractional)
K 0.330 0.830 0.670
K 0.830 0.830 0.830
K 0.000 0.500 0.500
K 0.560 0.781 0.938
K 0.170 0.170 0.170
K 0.938 0.560 0.781
K 0.281 0.938 0.940
K 0.330 0.670 0.170
K 0.560 0.719 0.438
K 0.219 0.062 0.440
K 0.440 0.219 0.062
K 0.719 0.062 0.060
K 0.281 0.562 0.440
K 0.500 0.000 0.500
K 0.830 0.670 0.330
K 0.060 0.719 0.062
K 0.438 0.940 0.219
K 0.940 0.219 0.438
K 0.562 0.060 0.781
K 0.219 0.438 0.940
K 0.940 0.281 0.938
K 0.670 0.330 0.830
K 0.719 0.438 0.560
K 0.440 0.281 0.562
K 0.060 0.781 0.562
K 0.562 0.440 0.281
K 0.438 0.560 0.719
K 0.170 0.330 0.670
K 0.938 0.940 0.281
K 0.000 0.000 0.000
K 0.500 0.500 0.000
K 0.062 0.440 0.219
K 0.670 0.170 0.330
K 0.781 0.938 0.560
K 0.781 0.562 0.060
K 0.062 0.060 0.719
Co 0.687 0.687 0.687
Co 0.313 0.313 0.313
Co 0.687 0.813 0.187
Co 0.313 0.187 0.813
Co 0.813 0.187 0.687
Co 0.813 0.313 0.187
Co 0.187 0.687 0.813
Co 0.187 0.813 0.313
S 0.177 0.918 0.178
S 0.323 0.418 0.178
S 0.678 0.323 0.082
S 0.418 0.178 0.323
S 0.582 0.678 0.177
S 0.823 0.082 0.822
S 0.000 0.500 0.000
S 0.822 0.677 0.582
S 0.000 0.000 0.500
S 0.323 0.082 0.678
S 0.418 0.322 0.823
S 0.822 0.823 0.082
S 0.678 0.177 0.582
S 0.178 0.323 0.418
S 0.677 0.918 0.322
S 0.082 0.678 0.323
S 0.918 0.178 0.177
S 0.178 0.177 0.918
S 0.500 0.500 0.500
S 0.918 0.322 0.677
S 0.322 0.823 0.418
S 0.582 0.822 0.677
S 0.177 0.582 0.678
S 0.322 0.677 0.918
S 0.677 0.582 0.822
S 0.500 0.000 0.000
S 0.823 0.418 0.322
S 0.082 0.822 0.823

Calculated values
- Total magnetic moment: 7.02 μB/f.u.
- Total energy: -0.2941 Ry/atom

---

# 12
The following is a PBEsol calculation of a relaxed structure of LaMoN3, from Alexandria.

a b c (Å): 4.254 4.254 4.254
angles (deg): 90.00 90.00 90.00
Element x y z (fractional)
N 0.500 0.000 0.000
N 0.000 0.000 0.500
N 0.000 0.500 0.000
La 0.000 0.000 0.000
Mo 0.500 0.500 0.500

Calculated values
- Total magnetic moment: 2.51 μB/f.u.
- Total energy: -0.4980 Ry/atom